(1)
Material: La8Co2Ni
Method: DFT, GGA-PBE
State: optimized geometry

```
11
Lattice="4.4803 -5.8069 0.0000 4.4803 5.8069 0.0000 -2.2594 0.0000 6.3323" Properties=species:S:1:pos:R:3 pbc="T T T"
La 0.0000 0.0000 0.0000
La 0.0963 1.6624 3.7746
La 2.7639 2.0881 1.5919
La 0.0963 -1.6624 3.7746
La 3.2059 1.7061 5.5665
La 2.7639 -2.0881 1.5919
La 3.2059 -1.7061 5.5665
La 5.5894 0.0000 2.8441
Co 1.6782 3.6244 4.5268
Co 1.6782 -3.6244 4.5268
Ni 0.9526 0.0000 6.2659
```

(2)
Material: LaCo2Ni3
Method: DFT, GGA-PBE
State: optimized geometry

```
6
Lattice="4.9804 0.0000 0.0000 -2.4902 4.3132 0.0000 0.0000 0.0000 4.0077" Properties=species:S:1:pos:R:3 pbc="T T T"
La 0.0000 0.0000 0.0000
Co 0.0000 2.8755 0.0000
Co 2.4902 1.4377 0.0000
Ni -1.2451 2.1566 2.0038
Ni 2.4902 0.0000 2.0038
Ni 1.2451 2.1566 2.0038
```

(3)
Material: La2CoNi
Method: DFT, GGA-PBE
State: optimized geometry

```
4
Lattice="0.0000 3.3988 3.3988 3.3988 0.0000 3.3988 3.3988 3.3988 0.0000" Properties=species:S:1:pos:R:3 pbc="T T T"
La 0.0000 0.0000 0.0000
La 1.6994 1.6994 1.6994
Co 3.3988 3.3988 3.3988
Ni 5.0983 5.0983 5.0983
```

(4)
Material: LaCo2Ni
Method: DFT, GGA-PBE
State: optimized geometry

```
4
Lattice="3.0915 0.0000 0.0000 0.0000 3.0915 0.0000 0.0000 0.0000 6.6882" Properties=species:S:1:pos:R:3 pbc="T T T"
La 0.0000 0.0000 0.0000
Co 1.5457 1.5457 2.1727
Co 1.5457 1.5457 4.5156
Ni 0.0000 0.0000 3.3441
```

(5)
Material: La2CoNi
Method: DFT, GGA-PBE
State: optimized geometry

```
4
Lattice="3.5078 0.0000 0.0000 0.0000 3.5111 0.0000 -0.0495 0.0000 7.0557" Properties=species:S:1:pos:R:3 pbc="T T T"
La 0.0021 0.0000 1.8129
La 3.4562 0.0000 5.2428
Co 1.7292 1.7556 3.5278
Ni 1.7539 1.7556 0.0000
```

(6)
Material: LaCo2Ni2
Method: DFT, GGA-PBE
State: optimized geometry

```
5
Lattice="-1.9867 1.9867 4.9672 1.9867 -1.9867 4.9672 1.9867 1.9867 -4.9672" Properties=species:S:1:pos:R:3 pbc="T T T"
La 0.0000 0.0000 0.0000
Co 0.0000 0.0000 3.8488
Co 0.0000 0.0000 6.0855
Ni 1.9867 0.0000 2.4836
Ni 0.0000 1.9867 2.4836
```

(7)
Material: LaCoNi
Method: DFT, GGA-PBE
State: optimized geometry

```
3
Lattice="0.0000 3.0616 3.0616 3.0616 0.0000 3.0616 3.0616 3.0616 0.0000" Properties=species:S:1:pos:R:3 pbc="T T T"
La 0.0000 0.0000 0.0000
Co 1.5308 1.5308 1.5308
Ni 3.0616 3.0616 3.0616
```

(8)
Material: LaCo2Ni
Method: DFT, GGA-PBE
State: optimized geometry

```
4
Lattice="3.9027 0.0000 0.0000 0.0000 3.9343 0.0000 -0.0184 0.0000 4.0356" Properties=species:S:1:pos:R:3 pbc="T T T"
La 0.0000 0.0000 0.0000
Co -0.0092 1.9672 2.0178
Co 1.9421 0.0000 2.0178
Ni 1.9513 1.9672 0.0000
```

(9)
Material: LaCo2Ni
Method: DFT, GGA-PBE
State: optimized geometry

```
4
Lattice="3.5380 -2.0432 0.0000 3.5380 2.0432 0.0000 -2.3713 0.0000 4.8822" Properties=species:S:1:pos:R:3 pbc="T T T"
La 0.0000 0.0000 0.0000
Co 2.3501 0.0000 2.3736
Co 4.7089 0.0000 2.1375
Ni -0.0091 0.0000 2.8301
```

(10)
Material: LaCo3Ni2
Method: DFT, GGA-PBE
State: optimized geometry

```
6
Lattice="4.9700 0.0000 0.0000 -2.4850 4.3042 0.0000 0.0000 0.0000 4.0549" Properties=species:S:1:pos:R:3 pbc="T T T"
La 0.0000 0.0000 0.0000
Co -1.2425 2.1521 2.0275
Co 2.4850 0.0000 2.0275
Co 1.2425 2.1521 2.0275
Ni 0.0000 2.8695 0.0000
Ni 2.4850 1.4347 0.0000
```

(11)
Material: LaCo2Ni
Method: DFT, GGA-PBE
State: optimized geometry

```
4
Lattice="4.0798 0.0000 0.0000 0.0000 4.1371 0.0000 -1.0647 0.0000 4.2958" Properties=species:S:1:pos:R:3 pbc="T T T"
La 0.0000 0.0000 0.0000
Co 0.4685 2.0685 2.6426
Co 2.5465 2.0685 1.6532
Ni 1.5075 0.0000 2.1479
```

(12)
Material: LaCo2Ni
Method: DFT, GGA-PBE
State: optimized geometry

```
4
Lattice="3.0546 0.0000 0.0000 0.0000 3.0546 0.0000 0.0000 0.0000 6.7978" Properties=species:S:1:pos:R:3 pbc="T T T"
La 0.0000 0.0000 0.0000
Co 0.0000 0.0000 3.4215
Co 1.5273 1.5273 4.5313
Ni 1.5273 1.5273 2.0973
```

(13)
Material: LaCo2Ni
Method: DFT, GGA-PBE
State: optimized geometry

```
4
Lattice="4.2501 0.0000 0.0000 0.0000 4.0065 0.0000 -1.1172 0.0000 4.3105" Properties=species:S:1:pos:R:3 pbc="T T T"
La 0.0000 0.0000 0.0000
Co 1.5619 0.0000 2.1586
Co 2.5202 2.0033 1.6703
Ni 0.3354 2.0033 2.5711
```

(14)
Material: La3CoNi
Method: DFT, GGA-PBE
State: optimized geometry

```
20
Lattice="7.1623 0.0000 0.0000 0.0000 7.1474 0.0000 -5.7420 0.0000 9.9200" Properties=species:S:1:pos:R:3 pbc="T T T"
La -0.7270 1.3831 2.4050
La -3.5980 2.1906 7.3650
La 1.7471 3.6776 0.7303
La -1.1239 7.0435 5.6903
La 2.0291 0.0168 0.5993
La -0.8419 3.5569 5.5593
La 2.2622 3.5905 4.3607
La -0.6088 7.1306 9.3207
La 2.5442 0.1039 4.2297
La -0.3267 3.4698 9.1897
La 5.0183 4.9568 2.5550
La 2.1473 5.7643 7.5150
Co -3.1099 5.0691 5.5988
Co -0.2390 5.6520 0.6388
Co 1.6593 1.4954 9.2812
Co 4.5303 2.0783 4.3212
Ni -2.3897 5.0239 8.0821
Ni 0.4813 5.6972 3.1221
Ni 0.9390 1.4502 6.7980
Ni 3.8100 2.1235 1.8379
```

(15)
Material: La4CoNi3
Method: DFT, GGA-PBE
State: optimized geometry

```
8
Lattice="3.8536 0.0000 0.0000 0.0000 4.2812 0.0000 0.0000 0.0000 10.9772" Properties=species:S:1:pos:R:3 pbc="T T T"
La 0.0000 0.0000 0.0000
La 0.0000 2.1406 2.8884
La 1.9268 0.0000 5.3303
La 1.9268 2.1406 8.3566
Co 1.9268 0.0000 2.2897
Ni 0.0000 0.0000 7.6782
Ni 0.0000 2.1406 6.0906
Ni 1.9268 2.1406 0.5802
```

(16)
Material: La2CoNi2
Method: DFT, GGA-PBE
State: optimized geometry

```
10
Lattice="5.2922 -2.0221 0.0000 5.2922 2.0221 0.0000 -4.4486 0.0000 9.6854" Properties=species:S:1:pos:R:3 pbc="T T T"
La -0.7200 0.0000 3.8077
La -0.6822 0.0000 8.3421
La 6.8180 0.0000 1.3433
La 6.8558 0.0000 5.8777
Co 3.7287 0.0000 1.7774
Co 2.4071 0.0000 7.9080
Ni -3.6580 0.0000 8.8081
Ni 2.3822 0.0000 3.7434
Ni 3.7536 0.0000 5.9420
Ni 9.7938 0.0000 0.8773
```

(17)
Material: LaCo2Ni
Method: DFT, GGA-PBE
State: optimized geometry

```
8
Lattice="-2.2084 2.2084 8.0581 2.2084 -2.2084 8.0581 2.2084 2.2084 -8.0581" Properties=species:S:1:pos:R:3 pbc="T T T"
La 2.2084 1.1042 2.0145
La 0.0000 1.1042 6.0436
Co 0.0000 0.0000 0.0000
Co 1.1042 1.1042 -4.0291
Co 1.1042 -1.1042 4.0291
Co 0.0000 2.2084 0.0000
Ni 2.2084 -1.1042 6.0436
Ni 0.0000 3.3126 2.0145
```

(18)
Material: LaCo2Ni
Method: DFT, GGA-PBE
State: optimized geometry

```
4
Lattice="0.0000 3.1681 3.1681 3.1681 0.0000 3.1681 3.1681 3.1681 0.0000" Properties=species:S:1:pos:R:3 pbc="T T T"
La 0.0000 0.0000 0.0000
Co 1.5841 1.5841 1.5841
Co 3.1681 3.1681 3.1681
Ni 4.7522 4.7522 4.7522
```

(19)
Material: LaCoNi4
Method: DFT, GGA-PBE
State: optimized geometry

```
6
Lattice="2.5402 -4.2790 0.0000 2.5402 4.2790 0.0000 0.0000 0.0000 3.9822" Properties=species:S:1:pos:R:3 pbc="T T T"
La 0.0000 0.0000 0.0000
Co 2.5402 0.0000 1.9911
Ni 1.2701 2.1395 1.9911
Ni 2.5402 1.3796 0.0000
Ni 1.2701 -2.1395 1.9911
Ni 2.5402 -1.3796 0.0000
```

(20)
Material: La6Co2Ni
Method: DFT, GGA-PBE
State: optimized geometry

```
9
Lattice="7.0533 0.0000 0.0000 -3.5267 6.1083 0.0000 0.0000 0.0000 6.6078" Properties=species:S:1:pos:R:3 pbc="T T T"
La -1.2012 2.0806 1.5024
La -2.3254 4.0277 5.1054
La 2.4025 0.0000 1.5024
La 1.2012 2.0806 5.1054
La 4.6508 0.0000 5.1054
La 2.3254 4.0277 1.5024
Co 0.0000 4.0722 0.0000
Co 3.5267 2.0361 0.0000
Ni 0.0000 0.0000 0.0000
```

no.,energy of formation (eV/atom),calculated volume (A^3/atom),E (eV/atom)
1,-0.06,29.954,-5.46
2,-0.13,14.349,-6.21
3,0.13,19.632,-5.56
4,0.27,15.980,-5.96
5,-0.11,21.725,-5.80
6,-0.01,15.684,-6.15
7,0.22,19.132,-5.72
8,0.23,15.491,-6.00
9,-0.12,17.647,-6.35
10,-0.11,14.458,-6.41
11,0.15,18.127,-6.08
12,0.18,15.857,-6.05
13,0.15,18.350,-6.08
14,-0.17,25.391,-5.70
15,-0.26,22.638,-5.78
16,-0.22,20.730,-5.93
17,0.17,19.650,-6.06
18,0.31,15.899,-5.92
19,-0.22,14.428,-6.08
20,-0.13,31.632,-5.63